Entry from the Open Quantum Materials Database: crystalline RbFeAgTe3 at its relaxed geometry (PBE-GGA).

```
12
Lattice="8.380 -1.954 0.000 8.380 1.954 0.000 0.000 0.000 10.961" Properties=species:S:1:pos:R:3 pbc="T T T"
Ag 7.530 0.000 2.740
Ag 9.229 0.000 8.220
Fe 0.000 0.000 0.000
Fe 0.000 0.000 5.480
Rb 12.750 0.000 2.740
Rb 4.009 0.000 8.220
Te 6.512 0.000 0.210
Te 1.149 0.000 2.740
Te 6.512 0.000 5.271
Te 10.247 0.000 5.690
Te 15.610 0.000 8.220
Te 10.247 0.000 10.751
```

Output
**Size of the total moment**: 2.63 μB/f.u.
**Space group**: Cmcm (63)
**Calculated volume**: 29.918 A^3/atom
**Total energy**: -45.33 eV/cell

=====

Entry from the Open Quantum Materials Database: crystalline PmBiN2O at its relaxed geometry (PBE-GGA).

```
5
Lattice="-0.149 1.868 -3.304 2.382 -2.704 -1.637 -4.224 -2.866 -1.413" Properties=species:S:1:pos:R:3 pbc="T T T"
Bi -1.325 -2.073 -3.289
N -0.459 -2.471 -1.370
N -2.988 -3.204 -3.840
O -1.753 -0.204 -2.213
Pm -0.669 1.515 -3.475
```

Output
**Size of the total moment**: 0.00 μB/f.u.
**Space group**: Pm (6)
**Calculated volume**: 15.922 A^3/atom
**Total energy**: -32.84 eV/cell

=====

Entry from the Open Quantum Materials Database: crystalline CuTeS at its relaxed geometry (PBE-GGA).

```
12
Lattice="-10.547 4.744 5.330 -2.108 -1.703 -2.656 -0.389 -4.333 3.086" Properties=species:S:1:pos:R:3 pbc="T T T"
Cu -9.894 3.286 4.392
Cu -4.729 -0.288 2.583
Cu -8.316 -1.003 3.178
Cu -3.150 -4.577 1.369
S -1.374 -0.778 0.234
S -6.716 0.837 3.439
S -6.329 -2.128 2.322
S -11.670 -0.513 5.527
Te -5.026 0.049 -0.108
Te -10.455 0.684 3.794
Te -2.589 -1.975 1.966
Te -8.019 -1.340 5.869
```

Output
**Space group**: Pnma (62)
**Calculated volume**: 21.479 A^3/atom
**Total energy**: -44.17 eV/cell

=====

Entry from the Open Quantum Materials Database: crystalline LuAlNO at its relaxed geometry (PBE-GGA).

```
16
Lattice="-1.671 -3.468 -4.196 -1.090 -5.410 4.905 -4.567 1.469 0.605" Properties=species:S:1:pos:R:3 pbc="T T T"
Al -1.474 -4.047 -0.658
Al -0.918 -3.700 2.697
Al -4.279 -4.395 -1.665
Al -3.723 -4.048 1.690
Lu -0.338 -0.884 0.483
Lu -1.963 -6.536 1.937
Lu -3.292 -1.540 -0.898
Lu -4.917 -7.192 0.557
N -0.941 -2.314 -1.110
N -2.542 -7.851 0.240
N -2.591 -0.265 0.784
N -4.192 -5.801 2.134
O -2.681 -5.313 -1.437
O -1.952 -4.104 1.137
O -4.489 -3.591 0.060
O -3.759 -2.382 2.634
```

Output
**Offset from the most stable computed form**: 41.7 kJ/mol of formula units
**Size of the total moment**: 0.01 μB/f.u.
**Space group**: Pca2_1 (29)
**Calculated volume**: 12.707 A^3/atom
**Total energy**: -115.88 eV/cell

=====

Entry from the Open Quantum Materials Database: crystalline LaCdNO at its relaxed geometry (PBE-GGA).

```
8
Lattice="5.223 0.000 0.000 0.000 5.223 0.000 0.000 0.000 4.699" Properties=species:S:1:pos:R:3 pbc="T T T"
Cd 1.306 1.306 0.003
Cd 3.917 3.917 4.695
La 3.917 1.306 2.349
La 1.306 3.917 2.349
N 3.917 3.917 2.345
N 1.306 1.306 2.353
O 3.917 1.306 0.000
O 1.306 3.917 0.000
```

Output
**Offset from the most stable computed form**: 19.9 kJ/mol of formula units
**Size of the total moment**: 0.00 μB/f.u.
**Space group**: P4/nmm (129)
**Calculated volume**: 16.021 A^3/atom
**Total energy**: -48.61 eV/cell

=====

Entry from the Open Quantum Materials Database: crystalline Na4InSiPd2 at its relaxed geometry (PBE-GGA).

```
8
Lattice="4.680 0.000 0.000 0.000 4.680 0.000 0.000 0.000 6.789" Properties=species:S:1:pos:R:3 pbc="T T T"
In 2.340 2.340 0.000
Na 0.000 0.000 0.000
Na 0.000 2.340 1.784
Na 2.340 2.340 3.395
Na 2.340 0.000 5.005
Pd 2.340 0.000 1.881
Pd 0.000 2.340 4.908
Si 0.000 0.000 3.395
```

Output
**Space group**: P-4m2 (115)
**Calculated volume**: 18.584 A^3/atom
**Total energy**: -24.56 eV/cell

=====

Entry from the Open Quantum Materials Database: crystalline BaAlZn2Pt at its relaxed geometry (PBE-GGA).

```
5
Lattice="-2.324 2.324 5.134 2.324 -2.324 5.134 2.324 2.324 -5.134" Properties=species:S:1:pos:R:3 pbc="T T T"
Al 0.000 0.000 3.901
Ba 0.000 0.000 0.051
Pt 0.000 0.000 6.365
Zn 0.000 2.324 2.542
Zn 2.324 0.000 2.542
```

Output
**Size of the total moment**: 0.00 μB/f.u.
**Space group**: I4mm (107)
**Calculated volume**: 22.174 A^3/atom
**Total energy**: -16.47 eV/cell

=====

Entry from the Open Quantum Materials Database: crystalline CsDyPbSe3 at its relaxed geometry (PBE-GGA).

```
24
Lattice="-2.249 -16.394 2.237 3.140 -0.041 2.855 -8.141 2.343 8.988" Properties=species:S:1:pos:R:3 pbc="T T T"
Cs 0.045 -11.866 4.511
Cs -1.581 -2.877 6.429
Cs -5.670 -11.215 7.651
Cs -7.296 -2.226 9.569
Dy -1.036 -16.015 5.639
Dy -1.677 -7.310 6.471
Dy -5.573 -6.782 7.609
Dy -6.215 1.923 8.440
Pb -1.038 -7.314 2.614
Pb -4.653 -14.794 6.481
Pb -2.597 0.702 7.598
Pb -6.212 -6.778 11.466
Se -1.595 -14.750 3.119
Se -0.006 -5.651 4.657
Se -2.516 -9.002 4.214
Se -1.485 -0.778 3.199
Se -2.142 -13.557 6.892
Se -3.852 -5.579 5.733
Se -3.398 -8.513 8.346
Se -5.108 -0.535 7.188
Se -5.766 -13.314 10.880
Se -4.735 -5.090 9.866
Se -7.244 -8.441 9.423
Se -5.655 0.658 10.961
```

Output
**Offset from the most stable computed form**: 0.0 kJ/mol of formula units
**Size of the total moment**: 0.00 μB/f.u.
**Space group**: Pnma (62)
**Calculated volume**: 36.472 A^3/atom
**Total energy**: -109.63 eV/cell

=====

Entry from the Open Quantum Materials Database: crystalline SmGdDy2Ga2 at its relaxed geometry (PBE-GGA).

```
6
Lattice="5.200 0.000 0.000 -2.600 4.503 0.000 0.000 0.000 6.628" Properties=species:S:1:pos:R:3 pbc="T T T"
Dy 0.000 3.002 1.649
Dy 0.000 3.002 4.979
Ga 2.600 1.501 0.000
Ga 0.000 0.000 3.314
Gd 0.000 0.000 0.000
Sm 2.600 1.501 3.314
```

Output
**Size of the total moment**: 0.06 μB/f.u.
**Space group**: P-6m2 (187)
**Calculated volume**: 25.868 A^3/atom
**Total energy**: -26.95 eV/cell

=====

Entry from the Open Quantum Materials Database: crystalline ZnAg15 at its relaxed geometry (PBE-GGA).

```
32
Lattice="5.067 0.000 0.000 0.000 37.300 0.000 -1.705 0.000 4.770" Properties=species:S:1:pos:R:3 pbc="T T T"
Ag 2.107 8.960 1.192
Ag -0.426 10.576 1.192
Ag 2.107 11.989 1.192
Ag -0.426 13.497 1.192
Ag 2.107 14.957 1.192
Ag -0.426 16.442 1.192
Ag 2.107 17.906 1.192
Ag -0.426 19.389 1.192
Ag 2.107 20.854 1.192
Ag -0.426 22.341 1.192
Ag 2.107 23.807 1.192
Ag -0.426 25.309 1.192
Ag 2.107 26.762 1.192
Ag -0.426 28.341 1.192
Ag 2.107 29.672 1.192
Ag 1.255 7.628 3.577
Ag -1.279 8.959 3.577
Ag 1.255 10.538 3.577
Ag -1.279 11.991 3.577
Ag 1.255 13.493 3.577
Ag -1.279 14.959 3.577
Ag 1.255 16.446 3.577
Ag -1.279 17.912 3.577
Ag 1.255 19.394 3.577
Ag -1.279 20.859 3.577
Ag 1.255 22.343 3.577
Ag -1.279 23.803 3.577
Ag 1.255 25.312 3.577
Ag -1.279 26.724 3.577
Ag 1.255 28.340 3.577
Zn -0.426 7.852 1.192
Zn -1.279 29.448 3.577
```

Output
**Offset from the most stable computed form**: 33.4 kJ/mol of formula units
**Energy of formation**: 0.07 eV/atom
**Space group**: P2/c (13)
**Calculated volume**: 28.170 A^3/atom
**Total energy**: -85.09 eV/cell

=====

Entry from the Open Quantum Materials Database: crystalline LiPd3C at its relaxed geometry (PBE-GGA).

```
5
Lattice="-1.615 -3.464 1.538 3.561 -0.815 1.905 -1.297 2.076 3.313" Properties=species:S:1:pos:R:3 pbc="T T T"
C 0.000 0.000 0.000
Li 0.324 -1.101 3.378
Pd -0.808 -1.732 0.769
Pd 1.780 -0.407 0.952
Pd -0.649 1.038 1.657
```

Output
**Offset from the most stable computed form**: 0.0 kJ/mol of formula units
**Space group**: Pm-3m (221)
**Calculated volume**: 13.983 A^3/atom
**Total energy**: -26.85 eV/cell

=====

Entry from the Open Quantum Materials Database: crystalline Sm2GdNi9 at its relaxed geometry (PBE-GGA).

```
12
Lattice="7.056 -3.690 3.465 7.740 1.237 3.739 4.881 -1.072 7.102" Properties=species:S:1:pos:R:3 pbc="T T T"
Gd 0.000 0.000 0.000
Ni 8.993 -1.513 4.762
Ni 6.550 -1.174 4.762
Ni 11.772 -3.322 7.726
Ni 12.113 -0.860 7.863
Ni 9.839 -1.763 7.153
Ni 7.564 -2.666 6.443
Ni 7.906 -0.205 6.580
Ni 13.128 -2.352 9.544
Ni 10.685 -2.013 9.544
Sm 2.730 -0.489 1.985
Sm 16.947 -3.037 12.321
```

Output
**Size of the total moment**: 0.58 μB/f.u.
**Energy of formation**: -0.37 eV/atom
**Space group**: R-3m (166)
**Calculated volume**: 14.677 A^3/atom
**Total energy**: -68.58 eV/cell

=====

Among the records above, which one has the highest total energy?
BaAlZn2Pt

=====

What is the total energy in the eleventh record?
-26.85 eV/cell

=====

Repeat the ninth record exactly.
Entry from the Open Quantum Materials Database: crystalline SmGdDy2Ga2 at its relaxed geometry (PBE-GGA).

```
6
Lattice="5.200 0.000 0.000 -2.600 4.503 0.000 0.000 0.000 6.628" Properties=species:S:1:pos:R:3 pbc="T T T"
Dy 0.000 3.002 1.649
Dy 0.000 3.002 4.979
Ga 2.600 1.501 0.000
Ga 0.000 0.000 3.314
Gd 0.000 0.000 0.000
Sm 2.600 1.501 3.314
```

Output
**Size of the total moment**: 0.06 μB/f.u.
**Space group**: P-6m2 (187)
**Calculated volume**: 25.868 A^3/atom
**Total energy**: -26.95 eV/cell

=====

What is the total energy in the eleventh record?
-26.85 eV/cell